Here is a relaxed NiTe2Os crystal from the Alexandria database. Energies are from PBE.

Lattice parameters (Å, degrees): 3.9333 3.9333 6.6352 77.04 77.04 51.12
Fractional positions:
Ni: 0.2500 0.2500 0.2500
Os: 0.7500 0.7500 0.7500
Te: 0.9969 0.9969 0.0034
Te: 0.5031 0.5031 0.4966

Properties
ΔE_f (raw) = 443 meV per atom
Distance to the lowest polymorph of the same formula = 5.674 kcal/mol of atoms
Density = 10.8 Mg/m³
Final energy = -5.38 eV/atom

---

Here is a relaxed Ni4TeOs crystal from the Alexandria database. Energies are from PBE.

Lattice parameters (Å, degrees): 4.8100 4.8100 4.8100 60.00 60.00 60.00
Each line ends with the local moment (μB).
Fractional positions:
Ni: 0.8720 0.3760 0.3760  0.38
Ni: 0.3760 0.3760 0.8720  0.38
Ni: 0.3760 0.8720 0.3760  0.38
Ni: 0.3760 0.3760 0.3760  0.38
Te: 0.0000 0.0000 0.0000  -0.01
Os: 0.7500 0.7500 0.7500  0.67

Properties
ΔE_f (raw) = 394 meV per atom
Density = 11.7 Mg/m³
Final energy = -5.86 eV/atom

---

Here is a relaxed NiTe2Os crystal from the Alexandria database. Energies are from PBE.

Lattice parameters (Å, degrees): 3.9498 3.9498 6.9086 73.44 73.44 60.03
Each line ends with the local moment (μB).
Fractional positions:
Ni: 0.4869 0.4869 0.5388  0.13
Os: 0.7733 0.7733 0.6802  0.43
Te: 0.0303 0.0303 0.9108  -0.01
Te: 0.2095 0.2095 0.3702  0.02

Properties
ΔE_f (raw) = 197 meV per atom
Distance to the lowest polymorph of the same formula = 0.000 kcal/mol of atoms
Density = 9.5 Mg/m³
Final energy = -5.63 eV/atom

---

Here is a relaxed NiTe2Os crystal from the Alexandria database. Energies are from PBE.

Lattice parameters (Å, degrees): 8.1016 8.1016 8.1016 27.55 27.55 27.55
Each line ends with the local moment (μB).
Fractional positions:
Ni: 0.0000 0.0000 0.0000  0.55
Te: 0.8961 0.8961 0.8961  0.02
Te: 0.1039 0.1039 0.1039  0.02
Os: 0.5000 0.5000 0.5000  0.19

Properties
ΔE_f (raw) = 503 meV per atom
Distance to the lowest polymorph of the same formula = 7.046 kcal/mol of atoms
Density = 8.3 Mg/m³
Final energy = -5.32 eV/atom

---

Here is a relaxed NiTe2Os crystal from the Alexandria database. Energies are from PBE.

Lattice parameters (Å, degrees): 4.1965 4.5651 4.5545 68.92 90.00 90.00
Fractional positions:
Ni: 0.0000 0.5237 0.5251
Os: 0.5000 0.7128 0.7111
Te: 0.0000 0.9330 0.9337
Te: 0.5000 0.3305 0.3300

Properties
ΔE_f (raw) = 295 meV per atom
Distance to the lowest polymorph of the same formula = 2.249 kcal/mol of atoms
Density = 10.3 Mg/m³
Final energy = -5.53 eV/atom

---

Here is a relaxed NiTeOs crystal from the Alexandria database. Energies are from PBE.

Lattice parameters (Å, degrees): 3.9362 3.9221 8.3748 90.00 90.00 120.12
Each line ends with the local moment (μB).
Fractional positions:
Ni: 0.6109 0.2219 0.0000  0.47
Ni: 0.2807 0.5615 0.5000  0.04
Te: 0.6109 0.2218 0.3101  0.00
Te: 0.6109 0.2218 0.6899  0.00
Os: 0.2766 0.5531 0.8462  0.34
Os: 0.2766 0.5531 0.1538  0.34

Properties
ΔE_f (raw) = 554 meV per atom
Distance to the lowest polymorph of the same formula = 3.671 kcal/mol of atoms
Density = 11.2 Mg/m³
Final energy = -6.16 eV/atom